Record 1
DFT (PBEsol) results for a geometry-optimized Nb2NiI structure.

Geometry as POSCAR:
```
Nb2NiI
1.0
4.562 0.000 0.000
2.281 3.951 0.000
2.281 1.317 3.725
I Ni Nb
1 1 2
Direct
0.500 0.500 0.500
0.000 0.000 0.000
0.250 0.250 0.250
0.750 0.750 0.750
```

Results
N(E_F): 4.6 states/eV/cell
Crystal system: cubic
Formation energy without anion corrections: 420 meV per atom
Volume: 67 Å³ per cell
Total energy: -6.972 eV/atom

***

Record 2
DFT (PBEsol) results for a geometry-optimized KBaSb2 structure.

Geometry as POSCAR:
```
KBaSb2
1.0
-1.449 -3.697 -1.804
4.438 -1.099 -1.314
1.014 -3.466 6.321
Sb K Ba
2 1 1
Direct
0.000 0.000 0.695
0.000 0.000 0.305
0.500 0.500 0.000
0.500 0.500 0.500
```

Results
N(E_F): 1.2 states/eV/cell
Crystal system: monoclinic
Formation energy without anion corrections: -632 meV per atom
Volume: 151 Å³ per cell
Total energy: -3.731 eV/atom

***

Record 3
DFT (PBEsol) results for a geometry-optimized Mg2TcAu structure.

Geometry as POSCAR:
```
Mg2TcAu
1.0
-2.161 1.734 0.264
-0.520 -0.233 -2.724
-5.055 -6.530 1.524
Au Mg Tc
1 2 1
Direct
0.500 0.500 0.500
0.000 0.000 0.752
0.000 0.000 0.248
0.500 0.500 0.000
```

Results
N(E_F): 2.3 states/eV/cell
Crystal system: tetragonal
Energy of formation from the pure elements: -0.1 eV/f.u.
Volume: 65 Å³ per cell
Total energy: -4.684 eV/atom

***

Record 4
DFT (PBEsol) results for a geometry-optimized NaCoIr2Se structure.

Geometry as POSCAR:
```
NaCoIr2Se
1.0
-0.934 -4.074 -1.185
0.620 -1.399 4.321
-4.433 0.760 0.882
Na Ir Co Se
1 2 1 1
Direct
0.500 0.500 0.500
0.000 0.000 0.500
0.000 0.500 0.000
0.500 0.000 0.000
0.000 0.000 0.000
```

Results
N(E_F): 6.4 states/eV/cell
Crystal system: tetragonal
Formation energy without anion corrections: 933 meV per atom
Volume: 91 Å³ per cell
Total energy: -5.594 eV/atom

***

Record 5
DFT (PBEsol) results for a geometry-optimized NaSr3GdP3O12F structure.

Geometry as POSCAR:
```
NaSr3GdP3O12F
1.0
-6.329 -1.332 -2.974
0.589 -9.079 2.813
-4.035 6.492 5.680
Na Sr Gd P O F
2 6 2 6 24 2
Direct
0.025 0.333 0.667
0.975 0.667 0.333
0.240 0.021 0.259
0.240 0.741 0.763
0.240 0.237 0.979
0.760 0.979 0.741
0.760 0.259 0.237
0.760 0.763 0.021
0.525 0.333 0.667
0.475 0.667 0.333
0.741 0.031 0.406
0.741 0.594 0.625
0.741 0.375 0.969
0.259 0.969 0.594
0.259 0.406 0.375
0.259 0.625 0.031
0.716 0.849 0.351
0.716 0.649 0.498
0.716 0.502 0.151
0.284 0.151 0.649
0.284 0.351 0.502
0.284 0.498 0.849
0.780 0.131 0.590
0.780 0.410 0.541
0.780 0.459 0.869
0.220 0.869 0.410
0.220 0.590 0.459
0.220 0.541 0.131
0.897 0.045 0.301
0.897 0.699 0.744
0.897 0.256 0.955
0.103 0.955 0.699
0.103 0.301 0.256
0.103 0.744 0.045
0.559 0.108 0.380
0.559 0.620 0.728
0.559 0.272 0.892
0.441 0.892 0.620
0.441 0.380 0.272
0.441 0.728 0.108
0.290 0.000 0.000
0.710 0.000 0.000
```

Results
N(E_F): 0.0 states/eV/cell
Crystal system: trigonal
Formation energy without anion corrections: -2972 meV per atom
Volume: 559 Å³ per cell
Total energy: -7.909 eV/atom

***

Record 6
DFT (PBEsol) results for a geometry-optimized Zr3Cd3AgF20 structure.

Geometry as POSCAR:
```
Zr3Cd3AgF20
1.0
-1.433 4.526 6.901
4.338 -7.613 5.894
6.021 7.775 -3.850
Zr Cd Ag F
6 6 2 40
Direct
0.250 0.277 0.415
0.750 0.415 0.138
0.750 0.723 0.585
0.250 0.585 0.862
0.250 0.138 0.723
0.750 0.862 0.277
0.750 0.567 0.836
0.750 0.270 0.433
0.250 0.433 0.164
0.250 0.836 0.270
0.750 0.164 0.730
0.250 0.730 0.567
0.250 0.000 0.000
0.750 0.000 0.000
0.250 0.450 0.633
0.512 0.855 0.281
0.750 0.035 0.233
0.750 0.280 0.225
0.500 0.000 0.000
0.750 0.767 0.802
0.750 0.198 0.965
0.250 0.225 0.945
0.012 0.145 0.719
0.012 0.575 0.855
0.750 0.550 0.367
0.250 0.588 0.060
0.250 0.233 0.198
0.512 0.425 0.145
0.488 0.281 0.425
0.250 0.965 0.767
0.250 0.055 0.280
0.750 0.633 0.183
0.250 0.720 0.775
0.250 0.940 0.528
0.488 0.145 0.719
0.750 0.060 0.472
0.512 0.719 0.575
0.750 0.528 0.588
0.488 0.575 0.855
0.988 0.855 0.281
0.750 0.945 0.720
0.988 0.425 0.145
0.750 0.412 0.940
0.250 0.183 0.550
0.000 0.000 0.000
0.250 0.472 0.412
0.750 0.817 0.450
0.750 0.775 0.055
0.988 0.719 0.575
0.250 0.667 0.333
0.250 0.802 0.035
0.012 0.281 0.425
0.250 0.367 0.817
0.750 0.333 0.667
```

Results
N(E_F): 2.3 states/eV/cell
Crystal system: hexagonal
Formation energy without anion corrections: -2944 meV per atom
Volume: 809 Å³ per cell
Total energy: -5.637 eV/atom

***

Record 7
DFT (PBEsol) results for a geometry-optimized ZnFePCl2 structure.

Geometry as POSCAR:
```
ZnFePCl2
1.0
-0.496 4.321 0.280
-0.330 0.260 -4.586
-4.564 -0.544 0.298
P Zn Fe Cl
1 1 1 2
Direct
0.500 0.000 0.000
0.500 0.500 0.500
0.000 0.000 0.000
0.000 0.000 0.500
0.000 0.500 0.000
```

Results
N(E_F): 3.8 states/eV/cell
Crystal system: tetragonal
Formation energy without anion corrections: 160 meV per atom
Volume: 92 Å³ per cell
Total energy: -3.911 eV/atom

***

Record 8
DFT (PBEsol) results for a geometry-optimized LiMg3Ag structure.

Geometry as POSCAR:
```
LiMg3Ag
1.0
5.087 0.000 0.000
0.000 5.087 0.000
0.000 0.000 5.087
Mg Ag Li
3 1 1
Direct
0.000 0.500 0.000
0.000 0.000 0.500
0.500 0.000 0.000
0.000 0.000 0.000
0.500 0.500 0.500
```

Results
N(E_F): 2.2 states/eV/cell
Crystal system: cubic
Energy of formation from the pure elements: 0.7 eV/f.u.
Volume: 132 Å³ per cell
Total energy: -1.950 eV/atom

***

Record 9
DFT (PBEsol) results for a geometry-optimized MgCdAu structure.

Geometry as POSCAR:
```
MgCdAu
1.0
4.532 0.000 0.000
2.266 3.925 0.000
2.266 1.308 3.700
Mg Au Cd
1 1 1
Direct
0.500 0.500 0.500
0.750 0.750 0.750
0.000 0.000 0.000
```

Results
N(E_F): 1.3 states/eV/cell
Crystal system: cubic
Energy of formation from the pure elements: -0.9 eV/f.u.
Volume: 66 Å³ per cell
Total energy: -2.578 eV/atom

***

Record 10
DFT (PBEsol) results for a geometry-optimized Pr3Ga5O12 structure.

Geometry as POSCAR:
```
Pr3Ga5O12
1.0
10.872 0.000 0.000
-3.624 10.250 0.000
-3.624 -5.125 8.877
Pr Ga O
12 20 48
Direct
0.750 0.875 0.125
0.250 0.125 0.875
0.250 0.625 0.375
0.875 0.250 0.125
0.625 0.750 0.375
0.750 0.375 0.625
0.125 0.750 0.875
0.375 0.250 0.625
0.625 0.875 0.750
0.375 0.125 0.250
0.875 0.625 0.250
0.125 0.375 0.750
0.750 0.125 0.375
0.250 0.875 0.625
0.250 0.375 0.125
0.625 0.250 0.875
0.375 0.750 0.125
0.750 0.625 0.875
0.875 0.750 0.625
0.125 0.250 0.375
0.375 0.625 0.750
0.625 0.375 0.250
0.125 0.875 0.250
0.875 0.125 0.750
0.000 0.000 0.000
0.500 0.000 0.500
0.000 0.500 0.500
0.500 0.500 0.500
0.500 0.500 0.000
0.500 0.000 0.000
0.000 0.500 0.000
0.000 0.000 0.500
0.522 0.821 0.904
0.478 0.179 0.096
0.417 0.618 0.596
0.083 0.679 0.201
0.701 0.083 0.179
0.679 0.978 0.596
0.583 0.382 0.404
0.917 0.321 0.799
0.299 0.917 0.821
0.321 0.022 0.404
0.978 0.882 0.299
0.799 0.978 0.382
0.882 0.083 0.904
0.022 0.118 0.701
0.201 0.022 0.618
0.118 0.917 0.096
0.404 0.522 0.321
0.821 0.417 0.299
0.596 0.478 0.679
0.179 0.583 0.701
0.096 0.417 0.118
0.618 0.522 0.201
0.904 0.583 0.882
0.382 0.478 0.799
0.618 0.096 0.917
0.417 0.799 0.321
0.382 0.904 0.083
0.583 0.201 0.679
0.882 0.799 0.478
0.978 0.096 0.179
0.118 0.201 0.522
0.022 0.904 0.821
0.679 0.701 0.583
0.083 0.404 0.382
0.321 0.299 0.417
0.917 0.596 0.618
0.821 0.404 0.022
0.522 0.701 0.118
0.179 0.596 0.978
0.478 0.299 0.882
0.701 0.618 0.022
0.299 0.382 0.978
0.799 0.821 0.917
0.201 0.179 0.083
0.096 0.679 0.478
0.904 0.321 0.522
0.404 0.882 0.583
0.596 0.118 0.417
```

Results
N(E_F): 0.0 states/eV/cell
Crystal system: cubic
Formation energy without anion corrections: -2514 meV per atom
Volume: 989 Å³ per cell
Total energy: -7.277 eV/atom

***

Record 11
DFT (PBEsol) results for a geometry-optimized SrBeSb2 structure.

Geometry as POSCAR:
```
SrBeSb2
1.0
-3.773 1.352 -2.317
-2.036 -4.464 0.711
-1.893 1.494 3.954
Sb Sr Be
2 1 1
Direct
0.000 0.058 0.875
0.500 0.059 0.375
0.000 0.557 0.375
0.500 0.826 0.875
```

Results
N(E_F): 2.1 states/eV/cell
Crystal system: tetragonal
Formation energy without anion corrections: -168 meV per atom
Volume: 106 Å³ per cell
Total energy: -3.906 eV/atom

***

Record 12
DFT (PBEsol) results for a geometry-optimized TaNiRh2 structure.

Geometry as POSCAR:
```
TaNiRh2
1.0
4.279 0.000 0.000
2.139 3.706 0.000
2.139 1.235 3.494
Ni Rh Ta
1 2 1
Direct
0.500 0.500 0.500
0.000 0.000 0.000
0.750 0.750 0.750
0.250 0.250 0.250
```

Results
N(E_F): 6.0 states/eV/cell
Crystal system: cubic
Energy of formation from the pure elements: -0.6 eV/f.u.
Volume: 55 Å³ per cell
Total energy: -8.904 eV/atom